A plane-wave DFT calculation with PBE was carried out for a relaxed GaTePbN2 crystal.

Output
* space-group type: P4/mmm
* V: 25.126 Å³/atom
* energy above the lowest structure with this stoichiometry: 0.347 eV/atom
* formation energy from raw total energies: 1.50 eV per atom
* spin magnetization: 2.805 Bohr magnetons per cell
* uncorrected energy: -3.8027 eV per atom

Structure (POSCAR):
```
GaTePbN2
1.0
4.444 0.000 0.000
0.000 4.444 0.000
0.000 0.000 6.362
N Ga Pb Te
2 1 1 1
Cartesian
0.000 2.222 0.000
2.222 0.000 0.000
2.222 2.222 3.181
0.000 0.000 0.000
0.000 0.000 3.181
```